[1]
First-principles (GGA-PBEsol) data for a geometry-optimized Cs3TlBr6 structure, as listed in the Alexandria database.

```
10
Lattice="0.0000 6.0171 6.0171 6.0171 0.0000 6.0171 6.0171 6.0171 0.0000" Properties=species:S:1:pos:R:3 pbc="T T T"
Cs 0.0000 0.0000 0.0000
Cs 3.0086 3.0086 3.0086
Cs 9.0257 9.0257 9.0257
Tl 6.0171 6.0171 6.0171
Br 6.0171 6.0171 3.2861
Br 6.0171 3.2861 6.0171
Br 8.7481 6.0171 6.0171
Br 3.2861 6.0171 6.0171
Br 6.0171 8.7481 6.0171
Br 6.0171 6.0171 8.7481
```

Summary:
ΔE_f (raw) (eV per atom): -1.2308
Size of the total moment (μB per formula unit): 0.2

---

[2]
First-principles (GGA-PBEsol) data for a geometry-optimized CsVBr3 structure, as listed in the Alexandria database.

```
10
Lattice="7.4450 0.0000 0.0000 -3.7225 6.4475 0.0000 0.0000 0.0000 6.3740" Properties=species:S:1:pos:R:3 pbc="T T T"
Cs 0.0000 4.2984 1.5935
Cs 3.7225 2.1492 4.7805
V 0.0000 0.0000 0.0000
V 0.0000 0.0000 3.1870
Br 0.0000 2.0528 4.7805
Br -1.9447 5.4211 4.7805
Br 1.7778 1.0264 1.5935
Br 1.9447 5.4211 4.7805
Br 5.6672 1.0264 1.5935
Br 3.7225 4.3947 1.5935
```

Summary:
ΔE_f (raw) (eV per atom): -1.2126
Size of the total moment (μB per formula unit): 3.0